# 1
# PBE-GGA Tm2ThAl4, relaxed
data_Tm2ThAl4
_cell_length_a 3.682
_cell_length_b 4.525
_cell_length_c 19.484
_cell_angle_alpha 90.00
_cell_angle_beta 90.00
_cell_angle_gamma 90.00
_space_group_name_H-M_alt 'I m m m'
_space_group_IT_number 71
_space_group_name_Hall '-I 2 2'
loop_
_atom_site_label
_atom_site_fract_x
_atom_site_fract_y
_atom_site_fract_z
Tm1 0.000 0.000 0.195
Th1 0.000 0.500 0.000
Al1 0.000 0.000 0.357
Al2 0.000 0.500 0.432
# Energy of formation from the pure elements   -2.8 eV/f.u.
# Crystal system   orthorhombic
# Uncorrected energy   -68.22 eV/cell
# N(E_F)   12.47 states/eV/cell



# 2
# PBE-GGA Tm2ThAl, relaxed
data_Tm2ThAl
_cell_length_a 7.543
_cell_length_b 7.543
_cell_length_c 7.543
_cell_angle_alpha 90.00
_cell_angle_beta 90.00
_cell_angle_gamma 90.00
_space_group_name_H-M_alt 'F m -3 m'
_space_group_IT_number 225
_space_group_name_Hall '-F 4 2 3'
loop_
_atom_site_label
_atom_site_fract_x
_atom_site_fract_y
_atom_site_fract_z
Tm1 0.250 0.250 0.250
Th1 0.000 0.000 0.000
Al1 0.000 0.000 0.500
# Energy of formation from the pure elements   0.3 eV/f.u.
# Crystal system   cubic
# Uncorrected energy   -79.22 eV/cell
# N(E_F)   26.96 states/eV/cell
# Offset from the most stable computed form   268 meV/atom



# 3
# PBE-GGA Tm6ThAl, relaxed
data_Tm6ThAl
_cell_length_a 4.841
_cell_length_b 4.841
_cell_length_c 9.693
_cell_angle_alpha 90.00
_cell_angle_beta 90.00
_cell_angle_gamma 90.00
_space_group_name_H-M_alt 'P 4/m m m'
_space_group_IT_number 123
_space_group_name_Hall '-P 4 2'
loop_
_atom_site_label
_atom_site_fract_x
_atom_site_fract_y
_atom_site_fract_z
Tm1 0.000 0.000 0.000
Tm2 0.000 0.000 0.500
Tm3 0.000 0.500 0.239
Th1 0.500 0.500 0.500
Al1 0.500 0.500 0.000
# Energy of formation from the pure elements   -0.3 eV/f.u.
# Crystal system   tetragonal
# Uncorrected energy   -38.32 eV/cell
# N(E_F)   12.97 states/eV/cell



# 4
# PBE-GGA Tm12ThAl3, relaxed
data_Tm12ThAl3
_cell_length_a 4.751
_cell_length_b 4.751
_cell_length_c 19.201
_cell_angle_alpha 90.00
_cell_angle_beta 90.00
_cell_angle_gamma 90.00
_space_group_name_H-M_alt 'P 4/m m m'
_space_group_IT_number 123
_space_group_name_Hall '-P 4 2'
loop_
_atom_site_label
_atom_site_fract_x
_atom_site_fract_y
_atom_site_fract_z
Tm1 0.000 0.000 0.000
Tm2 0.000 0.000 0.242
Tm3 0.000 0.000 0.500
Tm4 0.000 0.500 0.122
Tm5 0.000 0.500 0.366
Th1 0.500 0.500 0.500
Al1 0.500 0.500 0.000
Al2 0.500 0.500 0.242
# Energy of formation from the pure elements   -1.9 eV/f.u.
# Crystal system   tetragonal
# Uncorrected energy   -74.18 eV/cell
# N(E_F)   19.56 states/eV/cell



# 5
# PBE-GGA Tm2ThAl, relaxed
data_Tm2ThAl
_cell_length_a 3.5005
_cell_length_b 3.5005
_cell_length_c 31.5776
_cell_angle_alpha 90.00
_cell_angle_beta 90.00
_cell_angle_gamma 120.00
_space_group_name_H-M_alt 'R 3 m'
_space_group_IT_number 160
_space_group_name_Hall 'R 3 -2"'
loop_
_atom_site_label
_atom_site_fract_x
_atom_site_fract_y
_atom_site_fract_z
Tm1 0.0000 0.0000 0.0000
Tm2 0.0000 0.0000 0.1880
Th1 0.0000 0.0000 0.4277
Al1 0.0000 0.0000 0.5936
# Energy of formation from the pure elements   -0.2 eV/f.u.
# Crystal system   trigonal
# Uncorrected energy   -60.91 eV/cell
# N(E_F)   18.39 states/eV/cell
# Offset from the most stable computed form   143 meV/atom



# 6
# PBE-GGA Tm2ThAl9, relaxed
data_Tm2ThAl9
_cell_length_a 5.5662
_cell_length_b 5.5662
_cell_length_c 26.2205
_cell_angle_alpha 90.00
_cell_angle_beta 90.00
_cell_angle_gamma 120.00
_space_group_name_H-M_alt 'R -3 m'
_space_group_IT_number 166
_space_group_name_Hall '-R 3 2"'
loop_
_atom_site_label
_atom_site_fract_x
_atom_site_fract_y
_atom_site_fract_z
Tm1 0.0000 0.0000 0.1414
Th1 0.0000 0.0000 0.0000
Al1 0.0000 0.0000 0.3351
Al2 0.0000 0.0000 0.5000
Al3 0.0070 0.5035 0.9160
# Energy of formation from the pure elements   -4.5 eV/f.u.
# Crystal system   trigonal
# Uncorrected energy   -163.53 eV/cell
# N(E_F)   18.86 states/eV/cell



# 7
# PBE-GGA TmTh2Al9, relaxed
data_TmTh2Al9
_cell_length_a 5.6413
_cell_length_b 5.6413
_cell_length_c 26.5911
_cell_angle_alpha 90.00
_cell_angle_beta 90.00
_cell_angle_gamma 120.00
_space_group_name_H-M_alt 'R -3 m'
_space_group_IT_number 166
_space_group_name_Hall '-R 3 2"'
loop_
_atom_site_label
_atom_site_fract_x
_atom_site_fract_y
_atom_site_fract_z
Tm1 0.0000 0.0000 0.0000
Th1 0.0000 0.0000 0.1426
Al1 0.0000 0.0000 0.3349
Al2 0.0000 0.0000 0.5000
Al3 0.0068 0.5034 0.9176
# Energy of formation from the pure elements   -3.5 eV/f.u.
# Crystal system   trigonal
# Uncorrected energy   -169.47 eV/cell
# N(E_F)   21.15 states/eV/cell



# 8
# PBE-GGA Tm3ThAl8, relaxed
data_Tm3ThAl8
_cell_length_a 5.5362
_cell_length_b 5.5362
_cell_length_c 9.1892
_cell_angle_alpha 90.00
_cell_angle_beta 90.00
_cell_angle_gamma 120.00
_space_group_name_H-M_alt 'P 3 m 1'
_space_group_IT_number 156
loop_
_space_group_symop_operation_xyz
'x,y,z'
'-y,x-y,z'
'-x+y,-x,z'
'-y,-x,z'
'-x+y,y,z'
'x,x-y,z'
loop_
_atom_site_label
_atom_site_fract_x
_atom_site_fract_y
_atom_site_fract_z
Tm1 0.0000 0.0000 0.0000
Tm2 0.0000 0.0000 0.3651
Tm3 0.3333 0.6667 0.8678
Th1 0.3333 0.6667 0.5006
Al1 0.0080 0.5040 0.1816
Al2 0.3261 0.1630 0.6886
Al3 0.6667 0.3333 0.4308
Al4 0.6667 0.3333 0.9381
# Energy of formation from the pure elements   -5.6 eV/f.u.
# Crystal system   trigonal
# Uncorrected energy   -56.33 eV/cell
# N(E_F)   7.81 states/eV/cell
# Offset from the most stable computed form   12 meV/atom



# 9
# PBE-GGA Tm3ThAl, relaxed
data_Tm3ThAl
_cell_length_a 9.032
_cell_length_b 5.893
_cell_length_c 11.024
_cell_angle_alpha 90.00
_cell_angle_beta 110.00
_cell_angle_gamma 90.00
_space_group_name_H-M_alt 'P 1 21/c 1'
_space_group_IT_number 14
loop_
_space_group_symop_operation_xyz
'x,y,z'
'-x,-y,-z'
'-x,y+1/2,-z+1/2'
'x,-y+1/2,z+1/2'
loop_
_atom_site_label
_atom_site_fract_x
_atom_site_fract_y
_atom_site_fract_z
Tm1 0.006 0.137 0.367
Tm2 0.194 0.097 0.159
Tm3 0.382 0.605 0.218
Th1 0.406 0.245 0.474
Al1 0.201 0.706 0.426
# Energy of formation from the pure elements   -0.3 eV/f.u.
# Crystal system   monoclinic
# Uncorrected energy   -99.44 eV/cell
# N(E_F)   21.84 states/eV/cell



# 10
# PBE-GGA Tm2ThAl6, relaxed
data_Tm2ThAl6
_cell_length_a 7.9043
_cell_length_b 7.9043
_cell_length_c 3.5413
_cell_angle_alpha 90.00
_cell_angle_beta 90.00
_cell_angle_gamma 120.00
_space_group_name_H-M_alt 'P 6/m m m'
_space_group_IT_number 191
_space_group_name_Hall '-P 6 2'
loop_
_atom_site_label
_atom_site_fract_x
_atom_site_fract_y
_atom_site_fract_z
Tm1 0.3333 0.6667 0.0000
Th1 0.0000 0.0000 0.0000
Al1 0.0000 0.3358 0.5000
# Energy of formation from the pure elements   -3.9 eV/f.u.
# Crystal system   hexagonal
# Uncorrected energy   -42.74 eV/cell
# N(E_F)   3.99 states/eV/cell



# 11
# PBE-GGA TmTh2Al, relaxed
data_TmTh2Al
_cell_length_a 4.776
_cell_length_b 4.776
_cell_length_c 4.872
_cell_angle_alpha 90.00
_cell_angle_beta 90.00
_cell_angle_gamma 90.00
_space_group_name_H-M_alt 'P 4/m m m'
_space_group_IT_number 123
_space_group_name_Hall '-P 4 2'
loop_
_atom_site_label
_atom_site_fract_x
_atom_site_fract_y
_atom_site_fract_z
Tm1 0.000 0.000 0.000
Th1 0.000 0.500 0.500
Al1 0.500 0.500 0.000
# Energy of formation from the pure elements   -0.5 eV/f.u.
# Crystal system   tetragonal
# Uncorrected energy   -23.58 eV/cell
# N(E_F)   4.27 states/eV/cell
# Offset from the most stable computed form   0 meV/atom



# 12
# PBE-GGA Tm5ThAl3, relaxed
data_Tm5ThAl3
_cell_length_a 9.0326
_cell_length_b 9.0326
_cell_length_c 6.5417
_cell_angle_alpha 90.00
_cell_angle_beta 90.00
_cell_angle_gamma 120.00
_space_group_name_H-M_alt 'P 63/m c m'
_space_group_IT_number 193
_space_group_name_Hall '-P 6c 2'
loop_
_atom_site_label
_atom_site_fract_x
_atom_site_fract_y
_atom_site_fract_z
Tm1 0.0000 0.3334 0.2500
Tm2 0.3333 0.6667 0.0000
Th1 0.0000 0.0000 0.0000
Al1 0.0000 0.3379 0.7500
# Energy of formation from the pure elements   -2.3 eV/f.u.
# Crystal system   hexagonal
# Uncorrected energy   -86.68 eV/cell
# N(E_F)   17.65 states/eV/cell



Among the records above, which one has the highest N(E_F)? number 2



Among the records above, which one has the highest N(E_F)? number 2